# 1
Compound: NdB2Ir2
Source: Alexandria
Functional: GGA-PBE
Structure: relaxed

Results
ρ: 12.2 g/cm³
Energy of formation: -347 meV/atom

Cell lengths 8.4029, 8.4029, 8.4029 Å; angles 134.14, 134.14, 66.87 degrees
Last column: nearest neighbours and their distance in Å.
Fractional positions:
1 Ir 0.8187 0.5312 0.2875  5 B 2.18-2.35
2 Ir 0.9313 0.7188 0.2125  5 B 2.18-2.35
3 B 0.2193 0.8574 0.3619  1 B 1.81
4 Ir 0.5064 0.7188 0.7875  5 B 2.18-2.35
5 B 0.2545 0.3926 0.8619  1 B 1.81
6 Ir 0.2436 0.5312 0.7125  5 B 2.18-2.35
7 B 0.1426 0.5045 0.3619  1 B 1.81
8 Nd 0.8750 0.1250 0.7500  4 B 2.89, 4 Ir 3.07
9 B 0.6074 0.4693 0.8619  1 B 1.81
10 Ir 0.4688 0.7564 0.2875  5 B 2.18-2.35
11 Nd 0.8750 0.1250 0.2500  4 B 2.89, 4 Ir 3.07
12 Nd 0.3750 0.1250 0.2500  4 B 2.89, 4 Ir 3.07
13 B 0.1426 0.7807 0.6381  1 B 1.81
14 B 0.6074 0.7455 0.1381  1 B 1.81
15 Ir 0.2812 0.4936 0.2125  5 B 2.18-2.35
16 Nd 0.8750 0.6250 0.7500  4 B 2.89, 4 Ir 3.07
17 B 0.5307 0.3926 0.1381  1 B 1.81
18 Ir 0.2812 0.0687 0.7875  5 B 2.18-2.35
19 B 0.4955 0.8574 0.6381  1 B 1.81
20 Ir 0.4688 0.1813 0.7125  5 B 2.18-2.35

=====

# 2
Compound: MgGeWS2
Source: Alexandria
Functional: GGA-PBE
Structure: relaxed

Results
ρ: 5.4 g/cm³
E_form (uncorrected): 1.346 eV/atom

Cell lengths 4.5104, 5.2038, 4.5104 Å; angles 90.00, 90.00, 90.00 degrees
Last column: nearest neighbours and their distance in Å.
Fractional positions:
1 Mg 0.0000 0.0000 0.0000  4 S 2.26
2 W 0.0000 0.5000 0.0000  2 Mg 2.60
3 Ge 0.5000 0.5000 0.5000  4 W 3.19, 8 S 3.44
4 S 0.0000 0.0000 0.5000  2 Mg 2.26
5 S 0.5000 0.0000 0.0000  2 Mg 2.26

=====

# 3
Compound: Ac2Be3ZnPt4
Source: Alexandria
Functional: GGA-PBE
Structure: relaxed

Results
ρ: 12.1 g/cm³
Energy of formation: -785 meV/atom

Cell lengths 4.1862, 4.1862, 10.3817 Å; angles 90.00, 90.00, 90.00 degrees
Last column: nearest neighbours and their distance in Å.
Fractional positions:
1 Ac 0.5000 0.0000 0.2451  8 Pt 3.18-3.29, 6 Be 3.28-3.37, 2 Zn 3.37
2 Be 0.0000 0.0000 0.5000  4 Pt 2.56
3 Pt 0.0000 0.0000 0.0000  4 Be 2.37
4 Pt 0.5000 0.5000 0.0000  4 Be 2.37
5 Zn 0.5000 0.5000 0.5000  4 Pt 2.56
6 Pt 0.0000 0.5000 0.3576  3 Be 2.56-2.59, 2 Zn 2.56
7 Be 0.0000 0.5000 0.1080  5 Pt 2.37-2.59
8 Pt 0.5000 0.0000 0.6424  3 Be 2.56-2.59, 2 Zn 2.56
9 Be 0.5000 0.0000 0.8920  5 Pt 2.37-2.59
10 Ac 0.0000 0.5000 0.7549  8 Pt 3.18-3.29, 6 Be 3.28-3.37, 2 Zn 3.37

=====

# 4
Compound: La5TbDy
Source: Alexandria
Functional: GGA-PBE
Structure: relaxed

Results
ρ: 6.7 g/cm³
Energy of formation: 163 meV/atom

Cell lengths 6.2773, 9.4143, 9.2113 Å; angles 86.23, 78.62, 70.53 degrees
Last column: nearest neighbours and their distance in Å.
Fractional positions:
1 La 0.2381 0.3039 0.9649  4 La 3.37-3.57, 1 Dy 3.48, 1 Tb 3.61
2 Dy 0.5099 0.9802 0.7500  6 La 3.48-3.80, 2 Tb 3.51
3 La 0.1388 0.7224 0.2500  2 Tb 3.37, 6 La 3.45-3.73
4 La 0.4580 0.3039 0.5351  4 La 3.37-3.57, 1 Dy 3.48, 1 Tb 3.61
5 La 0.0198 0.3698 0.3517  7 La 3.37-3.73, 1 Dy 3.64, 1 Tb 3.69
6 La 0.5420 0.6961 0.4649  4 La 3.37-3.57, 1 Dy 3.48, 1 Tb 3.61
7 Tb 0.0000 0.0000 0.0000  6 La 3.37-3.69, 2 Dy 3.51
8 La 0.9802 0.6302 0.6483  7 La 3.37-3.73, 1 Dy 3.64, 1 Tb 3.69
9 La 0.3897 0.6302 0.8517  7 La 3.37-3.73, 1 Dy 3.64, 1 Tb 3.69
10 Tb 0.0000 0.0000 0.5000  6 La 3.37-3.69, 2 Dy 3.51
11 La 0.6103 0.3698 0.1483  7 La 3.37-3.73, 1 Dy 3.64, 1 Tb 3.69
12 La 0.8612 0.2776 0.7500  2 Tb 3.37, 6 La 3.45-3.73
13 Dy 0.4901 0.0198 0.2500  6 La 3.48-3.80, 2 Tb 3.51
14 La 0.7619 0.6961 0.0351  4 La 3.37-3.57, 1 Dy 3.48, 1 Tb 3.61